# 1
Computed, not measured: a relaxed Cs2TeAs crystal at the PBE-GGA level of DFT.

The structure belongs to space group P2_1/c (No. 14); the cell edges are 8.378, 10.766 and 11.360 Å and the angles 90.00°, 131.18° and 90.00°. The asymmetric unit holds Cs at (0.000, 0.193, 0.001), Cs at (0.500, 0.233, 0.500), Te at (0.473, 0.000, 0.747) and As at (0.099, 0.000, 0.452).

The calculation puts the total energy at -47.83 eV per cell. As for the uncorrected formation energy: -0.615 eV/atom. The calculation puts the polymorph energy (0 for the lowest one) at 0.0 meV per atom.


# 2
Computed, not measured: a relaxed CsTe8As6 crystal at the PBE-GGA level of DFT.

The structure belongs to space group R-3 (No. 148, hexagonal axes); the cell edges are 12.4805, 12.4805 and 13.9295 Å and the angles 90.00°, 90.00° and 120.00°. The asymmetric unit holds Cs at (0.0000, 0.0000, 0.0000), Te at (0.0000, 0.0000, 0.3038), Te at (0.0002, 0.3577, 0.9329) and As at (0.0675, 0.2063, 0.4136).

The calculation puts the total energy at -161.14 eV per cell. As for the uncorrected formation energy: 0.011 eV/atom.


# 3
Computed, not measured: a relaxed Cs2Te3As crystal at the PBE-GGA level of DFT.

The structure belongs to space group Cmce (No. 64); the cell edges are 8.320, 15.410 and 18.655 Å and the angles 90.00°, 90.00° and 90.00°. The asymmetric unit holds Cs at (0.000, 0.071, 0.161), Cs at (0.000, 0.147, 0.571), Te at (0.000, 0.093, 0.367), Te at (0.000, 0.146, 0.951), Te at (0.250, 0.197, 0.750) and As at (0.000, 0.243, 0.837).

The calculation puts the total energy at -154.00 eV per cell. As for the uncorrected formation energy: -0.578 eV/atom. The calculation puts the polymorph energy (0 for the lowest one) at 56.8 meV per atom.


# 4
Computed, not measured: a relaxed Cs3Te4As2 crystal at the PBE-GGA level of DFT.

The structure belongs to space group C2/c (No. 15); the cell edges are 14.983, 13.028 and 9.136 Å and the angles 90.00°, 101.20° and 90.00°. The asymmetric unit holds Cs at (0.000, 0.107, 0.250), Cs at (0.144, 0.371, 0.626), Te at (0.126, 0.312, 0.035), Te at (0.181, 0.063, 0.621) and As at (0.203, 0.126, 0.904).

The calculation puts the total energy at -117.52 eV per cell. As for the uncorrected formation energy: -0.550 eV/atom. The calculation puts the polymorph energy (0 for the lowest one) at 42.6 meV per atom.


# 5
Computed, not measured: a relaxed Cs2TeAs crystal at the PBE-GGA level of DFT.

The structure belongs to space group Fm-3m (No. 225); the cell edges are 9.069, 9.069 and 9.069 Å and the angles 90.00°, 90.00° and 90.00°. The asymmetric unit holds Cs at (0.250, 0.250, 0.250), Te at (0.000, 0.000, 0.000) and As at (0.000, 0.000, 0.500).

The calculation puts the total energy at -41.14 eV per cell. As for the uncorrected formation energy: -0.197 eV/atom. The calculation puts the polymorph energy (0 for the lowest one) at 417.9 meV per atom.


# 6
Computed, not measured: a relaxed Cs3Te2As crystal at the PBE-GGA level of DFT.

The structure belongs to space group Ibam (No. 72); the cell edges are 9.010, 14.790 and 10.304 Å and the angles 90.00°, 90.00° and 90.00°. The asymmetric unit holds Cs at (0.000, 0.000, 0.250), Cs at (0.000, 0.296, 0.250), Te at (0.241, 0.116, 0.000) and As at (0.000, 0.500, 0.000).

The calculation puts the total energy at -67.30 eV per cell. As for the uncorrected formation energy: -0.555 eV/atom.


# 7
Computed, not measured: a relaxed CsTe3As2 crystal at the PBE-GGA level of DFT.

The structure belongs to space group Cm (No. 8); the cell edges are 10.552, 16.622 and 6.998 Å and the angles 90.00°, 121.20° and 90.00°. The asymmetric unit holds Cs at (0.000, 0.178, 0.000), Te at (0.150, 0.367, 0.407), Te at (0.169, 0.500, 0.915), Te at (0.281, 0.118, 0.807), Te at (0.295, 0.000, 0.301), As at (0.008, 0.381, 0.623), As at (0.147, 0.000, 0.523) and As at (0.495, 0.000, 0.117).

The calculation puts the total energy at -82.97 eV per cell. As for the uncorrected formation energy: -0.194 eV/atom. The calculation puts the polymorph energy (0 for the lowest one) at 3.3 meV per atom.


# 8
Computed, not measured: a relaxed Cs3TeAs crystal at the PBE-GGA level of DFT.

The structure belongs to space group Pm-3m (No. 221); the cell edges are 6.787, 6.787 and 6.787 Å and the angles 90.00°, 90.00° and 90.00°. The asymmetric unit holds Cs at (0.000, 0.000, 0.500), Te at (0.500, 0.500, 0.500) and As at (0.000, 0.000, 0.000).

The calculation puts the total energy at -11.72 eV per cell. As for the uncorrected formation energy: -0.274 eV/atom. The calculation puts the polymorph energy (0 for the lowest one) at 452.0 meV per atom.


# 9
Computed, not measured: a relaxed Cs2Te3As crystal at the PBE-GGA level of DFT.

The structure belongs to space group P2_1/c (No. 14); the cell edges are 11.020, 9.590 and 11.725 Å and the angles 90.00°, 119.21° and 90.00°. The asymmetric unit holds Cs at (0.236, 0.105, 0.033), Cs at (0.239, 0.592, 0.193), Te at (0.025, 0.723, 0.828), Te at (0.192, 0.007, 0.348), Te at (0.499, 0.719, 0.611) and As at (0.454, 0.602, 0.928).

The calculation puts the total energy at -78.36 eV per cell. As for the uncorrected formation energy: -0.635 eV/atom. The calculation puts the polymorph energy (0 for the lowest one) at 0.0 meV per atom.


# 10
Computed, not measured: a relaxed CsTiTe6As crystal at the PBE-GGA level of DFT.

The structure belongs to space group P1 (No. 1); the cell edges are 6.332, 6.625 and 9.719 Å and the angles 71.62°, 82.81° and 69.95°. The asymmetric unit holds Cs at (0.000, 0.000, 0.000), Ti at (0.546, 0.457, 0.520), Te at (0.203, 0.504, 0.364), Te at (0.270, 0.538, 0.760), Te at (0.461, 0.879, 0.323), Te at (0.525, 0.072, 0.741), Te at (0.763, 0.596, 0.713), Te at (0.793, 0.214, 0.347) and As at (0.168, 0.093, 0.490).

The calculation puts the total energy at -35.57 eV per cell. As for the uncorrected formation energy: -0.370 eV/atom.


# 11
Computed, not measured: a relaxed CsTl2Te4As crystal at the PBE-GGA level of DFT.

The structure belongs to space group C2/c (No. 15); the cell edges are 13.176, 13.245 and 9.251 Å and the angles 90.00°, 134.37° and 90.00°. The asymmetric unit holds Cs at (0.000, 0.000, 0.000), Tl at (0.000, 0.500, 0.000), Tl at (0.250, 0.250, 0.000), Te at (0.001, 0.266, 0.036), Te at (0.215, 0.482, 0.466) and As at (0.250, 0.250, 0.500).

The calculation puts the total energy at -96.20 eV per cell. As for the uncorrected formation energy: -0.156 eV/atom.


# 12
Computed, not measured: a relaxed CsTlTe4As2 crystal at the PBE-GGA level of DFT.

The structure belongs to space group I222 (No. 23); the cell edges are 7.245, 7.853 and 11.354 Å and the angles 90.00°, 90.00° and 90.00°. The asymmetric unit holds Cs at (0.000, 0.000, 0.000), Tl at (0.000, 0.000, 0.500), Te at (0.235, 0.193, 0.673) and As at (0.000, 0.500, 0.278).

The calculation puts the total energy at -52.00 eV per cell. As for the uncorrected formation energy: -0.114 eV/atom.


The calculation returns the following spin magnetization values, one per record and in order: 0.00 0.00 0.00 0.00 12.00 7.77 0.00 2.00 0.00 0.00 0.00 0.00 μB/cell.